Entry 1:
## HfScCoBi2 (meta-GGA SCAN)

Data for HfScCoBi2 at its PBEsol-relaxed geometry. Values from VASP.

```
&SYSTEM
  ibrav = 0, nat = 5, ntyp = 4
/
ATOMIC_SPECIES
Bi 208.98 Bi.upf
Co 58.93 Co.upf
Sc 44.96 Sc.upf
Hf 178.49 Hf.upf
CELL_PARAMETERS angstrom
-1.246 -3.237 3.116
0.202 -3.529 -3.586
4.848 -0.823 1.083
ATOMIC_POSITIONS crystal
Bi 0.000 0.500 0.000
Co 0.000 0.000 0.000
Sc 0.500 0.500 0.500
Hf 0.500 0.000 0.000
Bi 0.000 0.000 0.500
```

Output
**Magnetic moment**: 0.0 μB/f.u.
**Energy relative to the elements**: 0.34 eV/atom
**N(E_F)**: 1.173 states/eV/atom

Entry 2:
## CrMoP2 (meta-GGA SCAN)

Data for CrMoP2 at its PBEsol-relaxed geometry. Values from VASP.

```
&SYSTEM
  ibrav = 0, nat = 8, ntyp = 3
/
ATOMIC_SPECIES
P 30.97 P.upf
Cr 52.00 Cr.upf
Mo 95.94 Mo.upf
CELL_PARAMETERS angstrom
5.406 0.000 0.000
0.000 5.406 0.000
-2.703 -2.703 5.054
ATOMIC_POSITIONS crystal
P 0.125 0.135 0.750
Cr 0.750 0.250 0.500
Cr 0.500 0.500 0.000
Mo 0.000 0.000 0.000
P 0.385 0.875 0.250
P 0.865 0.375 0.250
P 0.625 0.615 0.750
Mo 0.250 0.750 0.500
```

Output
**Magnetic moment**: 4.1 μB/f.u.
**Energy relative to the elements**: 0.02 eV/atom
**Polymorph energy (0 for the lowest one)**: 53.3 kJ per mole of atoms
**N(E_F)**: 0.542 states/eV/atom

Entry 3:
## IrRhW2 (meta-GGA SCAN)

Data for IrRhW2 at its PBEsol-relaxed geometry. Values from VASP.

```
&SYSTEM
  ibrav = 0, nat = 4, ntyp = 3
/
ATOMIC_SPECIES
Rh 102.91 Rh.upf
W 183.84 W.upf
Ir 192.22 Ir.upf
CELL_PARAMETERS angstrom
2.736 0.000 0.000
0.000 2.736 0.000
0.000 0.000 7.786
ATOMIC_POSITIONS crystal
Rh 0.500 0.500 0.500
W 0.000 0.000 0.749
W 0.000 0.000 0.251
Ir 0.500 0.500 0.000
```

Output
**Magnetic moment**: 0.0 μB/f.u.
**Energy relative to the elements**: -0.27 eV/atom
**Polymorph energy (0 for the lowest one)**: 1.4 kJ per mole of atoms
**N(E_F)**: 0.527 states/eV/atom

Entry 4:
## NaMoSeBr2 (meta-GGA SCAN)

Data for NaMoSeBr2 at its PBEsol-relaxed geometry. Values from VASP.

```
&SYSTEM
  ibrav = 0, nat = 5, ntyp = 4
/
ATOMIC_SPECIES
Br 79.90 Br.upf
Mo 95.94 Mo.upf
Se 78.96 Se.upf
Na 22.99 Na.upf
CELL_PARAMETERS angstrom
-3.962 -2.781 -1.382
2.876 -2.439 -3.334
1.223 -3.562 3.661
ATOMIC_POSITIONS crystal
Br 0.500 0.000 0.000
Mo 0.500 0.500 0.500
Br 0.000 0.500 0.000
Se 0.000 0.000 0.500
Na 0.000 0.000 0.000
```

Output
**Magnetic moment**: 3.0 μB/f.u.
**N(E_F)**: 0.762 states/eV/atom
**Uncorrected formation energy**: 447 meV per atom